# Ho2PaRu3

Ho2PaRu3 after structural relaxation (PBE-GGA, Alexandria).

Calculated values
- Uncorrected energy: -8.24 eV/atom
- Excess energy over the best structure of this formula in the dataset: 0 meV/atom
- Symmetry: P-3m1 (164)

Structure (POSCAR):
```
Ho2PaRu3
1.0
4.8165 0.0000 0.0000
-2.4082 4.1712 0.0000
0.0000 0.0000 5.8915
Ho Pa Ru
2 1 3
Direct
0.3333 0.6667 0.1564
0.6667 0.3333 0.8436
0.0000 0.0000 0.5000
0.0000 0.0000 0.0000
0.3333 0.6667 0.6485
0.6667 0.3333 0.3515
```